[1]
Here is a relaxed structure of Ba2ScTe from the Alexandria database. Energies are from PBE-GGA.

Structure (POSCAR):
```
Ba2ScTe
1.0
6.584 0.005 -0.030
2.368 6.144 0.030
-4.462 -3.095 3.724
Ba Sc Te
2 1 1
Cartesian
0.003 0.002 0.000
4.474 3.072 0.000
3.299 -0.008 1.847
1.191 3.061 1.877
```

Results
* uncorrected formation energy: -236 meV/atom
* M_tot: 1.92 μB per cell
* DOS(E_F): 6.797 states/eV per cell

***

[2]
Here is a relaxed structure of Ba2ScTe from the Alexandria database. Energies are from PBE-GGA.

Structure (POSCAR):
```
Ba2ScTe
1.0
4.295 0.000 0.000
0.000 4.295 0.000
0.000 0.000 8.889
Ba Sc Te
2 1 1
Cartesian
0.000 0.000 8.641
0.000 0.000 4.693
2.148 2.148 2.222
2.148 2.148 6.667
```

Results
* uncorrected formation energy: -468 meV/atom
* M_tot: 1.91 μB per cell
* DOS(E_F): 4.959 states/eV per cell

***

[3]
Here is a relaxed structure of Ba2ScTe from the Alexandria database. Energies are from PBE-GGA.

Structure (POSCAR):
```
Ba2ScTe
1.0
-6.630 5.908 6.152
-3.552 4.524 9.144
-2.728 8.133 6.567
Ba Sc Te
2 1 1
Cartesian
-0.163 0.234 0.276
-6.292 9.048 10.656
-3.228 4.641 5.466
-9.683 13.924 16.398
```

Results
* uncorrected formation energy: -390 meV/atom
* M_tot: 2.26 μB per cell
* DOS(E_F): 4.427 states/eV per cell

***

[4]
Here is a relaxed structure of BaScTe3 from the Alexandria database. Energies are from PBE-GGA.

Structure (POSCAR):
```
BaScTe3
1.0
-5.614 1.730 2.073
-0.451 -5.316 3.216
2.662 2.749 4.916
Sc Te Ba
1 3 1
Cartesian
-1.702 -0.419 5.103
-0.225 -2.658 1.608
1.331 1.374 2.458
-2.807 0.865 1.036
0.000 0.000 0.000
```

Results
* energy above the most stable polymorph in this dataset: 155.53 kJ per mole of atoms
* uncorrected formation energy: 342 meV/atom
* M_tot: 0.00 μB per cell
* DOS(E_F): 7.614 states/eV per cell

***

[5]
Here is a relaxed structure of Ba3Sc5Te12 from the Alexandria database. Energies are from PBE-GGA.

Structure (POSCAR):
```
Ba3Sc5Te12
1.0
-13.964 -7.095 -2.726
2.597 0.744 15.667
-0.262 14.707 -6.033
Ba Sc Te
12 20 48
Cartesian
-9.532 -3.204 3.077
-10.303 -3.812 8.611
-3.452 7.089 6.958
-3.264 3.834 -0.985
-11.959 -2.439 -1.935
-3.679 1.481 7.262
-7.950 6.875 -0.353
0.331 10.795 8.844
-8.364 4.522 7.894
-8.176 1.267 -0.049
-1.325 12.168 -1.703
-2.097 11.560 3.832
-0.837 3.069 4.026
1.299 0.372 7.834
0.000 0.000 0.000
-4.620 -0.636 2.141
-7.113 3.806 -4.379
-5.683 -3.176 6.471
0.104 5.186 9.147
-10.377 7.640 -5.365
-8.948 0.659 5.485
-5.108 8.463 -3.588
-6.520 -0.107 10.497
-5.814 4.178 3.454
-6.982 -3.548 -1.363
-0.131 7.354 -3.016
-2.680 7.697 1.423
-1.251 0.716 12.273
1.168 7.726 4.817
-11.733 3.170 -2.239
-7.008 8.992 4.768
-10.791 5.287 2.882
-9.546 -4.544 -0.338
-3.231 4.207 4.848
-12.682 -2.271 1.658
-6.830 -1.949 1.094
-6.634 6.297 5.313
-12.142 -3.854 5.437
-2.524 4.295 9.147
1.132 1.692 13.307
-5.821 6.554 9.586
-8.332 -1.922 6.298
-9.988 0.433 2.922
-9.099 -4.780 11.939
0.148 7.460 7.557
-4.388 -1.084 4.869
0.971 5.748 11.723
-5.546 5.807 -2.911
-0.891 2.467 1.318
-4.893 -1.608 8.824
-9.190 -0.794 10.180
-0.508 0.777 5.556
-3.116 9.673 9.411
-6.697 2.282 5.514
-10.774 1.843 7.207
-10.522 7.925 -2.608
-4.931 6.074 1.395
-0.854 6.513 -0.298
-1.106 0.431 9.517
-2.438 9.150 -3.271
-8.513 -1.317 -2.502
-11.120 7.579 1.353
-6.735 9.964 -1.915
-6.082 2.549 9.819
-10.737 5.889 5.591
-12.599 2.608 -4.815
-11.777 0.896 -0.649
-2.529 13.136 -5.030
-7.240 9.440 2.039
-5.807 1.802 -2.677
-3.296 10.278 0.610
-1.641 7.923 3.986
-12.760 6.664 -6.398
-9.104 4.061 -2.238
-4.798 10.305 5.814
0.514 12.210 1.472
-4.994 2.059 1.596
1.053 10.627 5.251
-8.397 4.149 2.061
-2.082 12.900 7.247
```

Results
* uncorrected formation energy: -1101 meV/atom
* M_tot: 0.00 μB per cell
* DOS(E_F): 94.844 states/eV per cell

***

[6]
Here is a relaxed structure of BaSc2Te2 from the Alexandria database. Energies are from PBE-GGA.

Structure (POSCAR):
```
BaSc2Te2
1.0
-1.208 -1.938 -3.840
3.955 1.068 -1.783
4.253 -7.040 -0.384
Sc Te Ba
2 2 1
Cartesian
2.209 -4.706 -3.518
4.790 -3.203 -2.489
2.079 -2.054 -2.216
4.920 -5.856 -3.790
0.000 0.000 0.000
```

Results
* energy above the most stable polymorph in this dataset: 0.00 kJ per mole of atoms
* uncorrected formation energy: -1021 meV/atom
* M_tot: 1.60 μB per cell
* DOS(E_F): 4.666 states/eV per cell

***

- Which of these has the highest M_tot?
  number 3

***

- The highest DOS(E_F) belongs to which entry?
  Ba3Sc5Te12